! GGA-PBE SrHgRu3, optimized geometry; values from VASP
! Raw total energy, eV per atom: -4.3175
! Symmetry: Pm-3m
! Polymorph energy (0 for the lowest one), kJ/mol of formula units: 0
&SYSTEM
  ibrav = 0, nat = 5, ntyp = 3
/
ATOMIC_SPECIES
Sr 87.62 Sr.upf
Hg 200.59 Hg.upf
Ru 101.07 Ru.upf
CELL_PARAMETERS angstrom
-1.715 1.821 4.409
1.668 -4.160 2.367
4.469 2.252 0.808
ATOMIC_POSITIONS crystal
Sr 0.500 0.500 0.500
Hg 0.000 0.000 0.000
Ru 0.000 0.500 0.000
Ru 0.500 0.000 0.000
Ru 0.000 0.000 0.500